A plane-wave DFT calculation with PBEsol was carried out for crystalline SrCdIn2 at its relaxed geometry.

It has space group R-3m (No. 166, hexagonal axes), with a = 4.7744 Å, b = 4.7744 Å, c = 17.2395 Å, α = 90.00°, β = 90.00° and γ = 120.00°. The inequivalent atoms are Sr at (0.0000, 0.0000, 0.0000), Cd at (0.0000, 0.0000, 0.5000) and In at (0.0000, 0.0000, 0.2213).

The calculated volume is 28.36 Å³/atom. The total energy comes out at -30.63 eV per cell. Its energy of formation from the pure elements is -301.6 meV per atom. As for the crystal system: trigonal.


A plane-wave DFT calculation with PBEsol was carried out for crystalline Sr4CdIn at its relaxed geometry.

It has space group F-43m (No. 216), with a = 9.858 Å, b = 9.858 Å, c = 9.858 Å, α = 90.00°, β = 90.00° and γ = 90.00°. The inequivalent atoms are Sr at (0.125, 0.125, 0.125), Cd at (0.250, 0.250, 0.750) and In at (0.000, 0.000, 0.500).

The calculated volume is 39.92 Å³/atom. The total energy comes out at -37.95 eV per cell. Its energy of formation from the pure elements is 342.3 meV per atom. As for the crystal system: cubic.


A plane-wave DFT calculation with PBEsol was carried out for crystalline SrCd2InTc at its relaxed geometry.

It has space group P4/mmm (No. 123), with a = 5.182 Å, b = 5.182 Å, c = 5.087 Å, α = 90.00°, β = 90.00° and γ = 90.00°. The inequivalent atoms are Sr at (0.000, 0.000, 0.000), Cd at (0.000, 0.500, 0.500), In at (0.500, 0.500, 0.000) and Tc at (0.500, 0.500, 0.500).

The calculated volume is 27.33 Å³/atom. The total energy comes out at -17.56 eV per cell. Its energy of formation from the pure elements is 184.8 meV per atom. As for the crystal system: tetragonal.